# 1
DFT (GGA-PBE) results for crystalline NbBPS2 at its relaxed geometry.

Output
**Uncorrected energy**: -5.5255 eV per atom
**Magnetization**: 0.00 μB per atom

Cell lengths 4.1686, 4.1686, 4.0716 Å; angles 90.00, 90.00, 90.00 degrees
Closest atoms and distances in Å follow each position.
Space group P4/mmm (No. 123)
Asymmetric unit:
1 Nb 0.0000 0.0000 0.0000 [1 per cell]  8 S 2.91, 4 P 2.95
2 B 0.5000 0.5000 0.5000 [1 per cell]  2 P 2.04, 4 S 2.08
3 P 0.5000 0.5000 0.0000 [1 per cell]  2 B 2.04
4 S 0.0000 0.5000 0.5000 [2 per cell]  2 B 2.08

=====

# 2
DFT (GGA-PBE) results for crystalline NbBP2S at its relaxed geometry.

Output
**Uncorrected energy**: -5.2336 eV per atom
**Magnetization**: 0.00 μB per atom

Cell lengths 4.8546, 4.8546, 4.7355 Å; angles 90.00, 90.00, 90.00 degrees
Closest atoms and distances in Å follow each position.
Space group P4/mmm (No. 123)
Asymmetric unit:
1 Nb 0.0000 0.0000 0.0000 [1 per cell]  2 S 2.37, 4 P 2.43
2 B 0.5000 0.5000 0.5000 [1 per cell]  8 P 3.39, 4 S 3.43
3 P 0.0000 0.5000 0.0000 [2 per cell]  2 Nb 2.43
4 S 0.0000 0.0000 0.5000 [1 per cell]  2 Nb 2.37

=====

# 3
DFT (GGA-PBE) results for crystalline NbBPS2 at its relaxed geometry.

Output
**Uncorrected energy**: -5.2070 eV per atom
**Magnetization**: 0.00 μB per atom

Cell lengths 4.7715, 4.7715, 4.9029 Å; angles 90.00, 90.00, 90.00 degrees
Closest atoms and distances in Å follow each position.
Space group P4/mmm (No. 123)
Asymmetric unit:
1 Nb 0.0000 0.0000 0.0000 [1 per cell]  4 S 2.39, 2 P 2.45
2 B 0.5000 0.5000 0.5000 [1 per cell]  4 P 3.37, 8 S 3.42
3 P 0.0000 0.0000 0.5000 [1 per cell]  2 Nb 2.45
4 S 0.0000 0.5000 0.0000 [2 per cell]  2 Nb 2.39

=====

# 4
DFT (GGA-PBE) results for crystalline NbBP2S at its relaxed geometry.

Output
**Uncorrected energy**: -5.7223 eV per atom
**Magnetization**: 0.00 μB per atom

Cell lengths 3.9277, 3.9277, 4.6036 Å; angles 90.00, 90.00, 90.00 degrees
Closest atoms and distances in Å follow each position.
Space group P4/mmm (No. 123)
Asymmetric unit:
1 Nb 0.0000 0.0000 0.0000 [1 per cell]  4 S 2.78, 8 P 3.03
2 B 0.5000 0.5000 0.5000 [1 per cell]  4 P 1.96
3 P 0.0000 0.5000 0.5000 [2 per cell]  2 B 1.96
4 S 0.5000 0.5000 0.0000 [1 per cell]  2 B 2.30

=====

# 5
DFT (GGA-PBE) results for crystalline NbBPW2 at its relaxed geometry.

Output
**Uncorrected energy**: -8.1016 eV per atom
**Magnetization**: 0.00 μB per atom
**ΔE_f**: 1.511 eV per atom

Cell lengths 4.3960, 4.3960, 4.5548 Å; angles 90.00, 90.00, 90.00 degrees
Closest atoms and distances in Å follow each position.
Space group P4/mmm (No. 123)
Asymmetric unit:
1 Nb 0.0000 0.0000 0.0000 [1 per cell]  2 P 2.28
2 B 0.5000 0.5000 0.0000 [1 per cell]  4 Nb 3.11, 8 W 3.17
3 P 0.0000 0.0000 0.5000 [1 per cell]  4 W 2.20, 2 Nb 2.28
4 W 0.0000 0.5000 0.5000 [2 per cell]  2 P 2.20

=====

# 6
DFT (GGA-PBE) results for crystalline PaNbB4 at its relaxed geometry.

Output
**Uncorrected energy**: -8.3628 eV per atom
**Magnetization**: 0.00 μB per atom
**ΔE_f**: -0.650 eV per atom

Cell lengths 6.0607, 11.7286, 3.7857 Å; angles 90.00, 90.00, 90.00 degrees
Closest atoms and distances in Å follow each position.
Space group Pbam (No. 55)
Asymmetric unit:
1 Pa 0.1263 0.1511 0.0000 [4 per cell]  14 B 2.74-2.88, 1 Nb 3.07
2 Nb 0.1344 0.4126 0.0000 [4 per cell]  10 B 2.42-2.47, 1 Nb 2.62
3 B 0.0258 0.6934 0.5000 [4 per cell]  3 B 1.79-1.93
4 B 0.1150 0.5472 0.5000 [4 per cell]  3 B 1.78-1.80
5 B 0.1323 0.9684 0.5000 [4 per cell]  3 B 1.77-1.88
6 B 0.2083 0.8129 0.5000 [4 per cell]  3 B 1.79-1.93

=====

# 7
DFT (GGA-PBE) results for crystalline PaNbB4 at its relaxed geometry.

Output
**Uncorrected energy**: -7.2742 eV per atom
**Magnetization**: 0.03 μB per atom
**ΔE_f**: 0.438 eV per atom

Cell lengths 6.5977, 6.5977, 6.5977 Å; angles 90.00, 90.00, 90.00 degrees
Closest atoms and distances in Å follow each position.
Space group F-43m (No. 216)
Asymmetric unit:
1 Pa 0.0000 0.0000 0.0000 [4 per cell]  12 B 2.81, 4 Nb 2.86
2 Nb 0.2500 0.2500 0.2500 [4 per cell]  12 B 2.70, 4 Pa 2.86
3 B 0.0960 0.0960 0.5960 [16 per cell]  3 B 1.79

=====

# 8
DFT (GGA-PBE) results for crystalline PaNbB2 at its relaxed geometry.

Output
**Uncorrected energy**: -8.4575 eV per atom
**Magnetization**: 0.00 μB per atom
**ΔE_f**: -0.227 eV per atom

Cell lengths 3.3699, 3.3699, 18.2537 Å; angles 90.00, 90.00, 120.00 degrees
Closest atoms and distances in Å follow each position.
Space group R-3m (No. 166, hexagonal axes)
Asymmetric unit:
1 Pa 0.0000 0.0000 0.0000 [3 per cell]  6 B 2.60
2 Nb 0.0000 0.0000 0.5000 [3 per cell]  6 B 2.35
3 B 0.0000 0.0000 0.2387 [6 per cell]  3 Nb 2.35, 3 Pa 2.60